Entry 1:
Computed, not measured: crystalline MnSiI3 at its relaxed geometry at the PBE level of DFT.

Structure (POSCAR):
```
MnSiI3
1.0
5.606 0.000 0.000
0.000 5.606 0.000
0.000 0.000 5.606
Mn Si I
1 1 3
Cartesian
0.000 0.000 0.000 Mn
2.803 2.803 2.803 Si
0.000 0.000 2.803 I
0.000 2.803 0.000 I
2.803 0.000 0.000 I
```

Properties
Uncorrected energy: -17.0 eV/cell
Magnetic moment: 6.00 μB/f.u.
Space group: Pm-3m
Energy relative to the elements, uncorrected: 0.444 eV per atom

Entry 2:
Computed, not measured: crystalline Ta2GaCoSn at its relaxed geometry at the PBE level of DFT.

Structure (POSCAR):
```
Ta2GaCoSn
1.0
5.077 0.000 0.000
0.000 5.077 0.000
0.000 0.000 4.526
Ta Ga Co Sn
2 1 1 1
Cartesian
0.000 2.539 0.000 Ta
2.539 0.000 0.000 Ta
0.000 0.000 2.263 Ga
2.539 2.539 2.263 Co
2.539 2.539 0.000 Sn
```

Properties
Uncorrected energy: -29.2 eV/cell
Magnetic moment: 1.77 μB/f.u.
Energy relative to the elements: 1734 meV/atom
Space group: P4/mmm

Entry 3:
Computed, not measured: crystalline Pa2I8F at its relaxed geometry at the PBE level of DFT.

Structure (POSCAR):
```
Pa2I8F
1.0
8.604 -6.397 0.000
8.604 6.397 0.000
-2.165 0.000 5.785
Pa I F
2 8 1
Cartesian
2.152 0.000 0.815 Pa
12.892 0.000 4.970 Pa
4.409 3.493 5.008 I
0.970 0.000 3.670 I
4.865 0.000 1.821 I
10.634 3.493 0.777 I
4.409 -3.493 5.008 I
10.179 0.000 3.963 I
14.074 0.000 2.115 I
10.634 -3.493 0.777 I
0.000 0.000 0.000 F
```

Properties
Uncorrected energy: -46.5 eV/cell
Magnetic moment: 1.03 μB/f.u.
Space group: C2/m
Energy relative to the elements, uncorrected: -1.205 eV per atom

Entry 4:
Computed, not measured: crystalline LaAlCd at its relaxed geometry at the PBE level of DFT.

Structure (POSCAR):
```
LaAlCd
1.0
0.000 3.636 3.636
3.636 0.000 3.636
3.636 3.636 0.000
La Al Cd
1 1 1
Cartesian
0.000 0.000 0.000 La
1.818 1.818 1.818 Al
5.454 5.454 5.454 Cd
```

Properties
Uncorrected energy: -9.0 eV/cell
Magnetic moment: 0.00 μB/f.u.
Energy relative to the elements: 206 meV/atom
Space group: F-43m

Entry 5:
Computed, not measured: crystalline TbTm2Au at its relaxed geometry at the PBE level of DFT.

Structure (POSCAR):
```
TbTm2Au
1.0
1.851 1.068 9.705
-1.851 1.068 9.705
0.000 -2.137 9.705
Tb Tm Au
1 2 1
Cartesian
0.000 0.000 0.000 Tb
0.000 0.000 16.531 Tm
0.000 0.000 22.225 Tm
0.000 0.000 4.803 Au
```

Properties
Uncorrected energy: -18.1 eV/cell
Magnetic moment: 0.48 μB/f.u.
Energy relative to the elements: -303 meV/atom
Space group: R3m

Entry 6:
Computed, not measured: crystalline Be2GaRh at its relaxed geometry at the PBE level of DFT.

Structure (POSCAR):
```
Be2GaRh
1.0
3.774 0.000 0.000
0.000 3.774 0.000
0.000 0.000 3.149
Be Ga Rh
2 1 1
Cartesian
0.000 1.887 0.000 Be
1.887 0.000 0.000 Be
0.000 0.000 1.574 Ga
1.887 1.887 1.574 Rh
```

Properties
Uncorrected energy: -19.2 eV/cell
Magnetic moment: 0.00 μB/f.u.
Energy relative to the elements: -348 meV/atom
Space group: P4/mmm

Entry 7:
Computed, not measured: crystalline Ac5Pr5Dy2 at its relaxed geometry at the PBE level of DFT.

Structure (POSCAR):
```
Ac5Pr5Dy2
1.0
9.079 -2.994 0.000
9.079 2.994 0.000
-5.973 0.000 8.573
Ac Pr Dy
5 5 2
Cartesian
0.000 0.000 0.000 Ac
-0.521 0.000 3.943 Ac
3.131 0.000 2.067 Ac
9.054 0.000 6.506 Ac
12.706 0.000 4.630 Ac
6.564 0.000 0.390 Pr
2.574 0.000 6.137 Pr
6.093 0.000 4.286 Pr
9.612 0.000 2.436 Pr
5.622 0.000 8.183 Pr
-2.472 0.000 6.835 Dy
14.657 0.000 1.737 Dy
```

Properties
Uncorrected energy: -52.8 eV/cell
Magnetic moment: 0.00 μB/f.u.
Energy relative to the elements: 69 meV/atom
Space group: C2/m

Entry 8:
Computed, not measured: crystalline Co2CuAu at its relaxed geometry at the PBE level of DFT.

Structure (POSCAR):
```
Co2CuAu
1.0
2.742 0.000 0.000
0.000 3.332 0.000
0.000 0.000 5.754
Co Cu Au
2 1 1
Cartesian
0.000 0.000 0.000 Co
1.371 1.666 1.098 Co
0.000 0.000 2.476 Cu
1.371 1.666 4.074 Au
```

Properties
Uncorrected energy: -21.0 eV/cell
Magnetic moment: 3.35 μB/f.u.
Energy relative to the elements: 143 meV/atom
Space group: Pmm2

Entry 9:
Computed, not measured: crystalline IrSeO2 at its relaxed geometry at the PBE level of DFT.

Structure (POSCAR):
```
IrSeO2
1.0
1.398 0.807 7.233
-1.398 0.807 7.233
0.000 -1.614 7.233
Ir Se O
1 1 2
Cartesian
0.000 0.000 0.000 Ir
0.000 0.000 10.849 Se
0.000 0.000 1.875 O
0.000 0.000 19.824 O
```

Properties
Uncorrected energy: -21.7 eV/cell
Magnetic moment: 0.00 μB/f.u.
Space group: R-3m
Energy relative to the elements, uncorrected: 0.129 eV per atom

Entry 10:
Computed, not measured: crystalline Cu2Ni8Ir3 at its relaxed geometry at the PBE level of DFT.

Structure (POSCAR):
```
Cu2Ni8Ir3
1.0
4.824 -4.096 0.000
4.824 4.096 0.000
-1.475 0.000 4.004
Cu Ni Ir
2 8 3
Cartesian
1.390 0.000 1.414 Cu
6.784 0.000 2.590 Cu
-0.557 0.000 3.131 Ni
2.670 2.043 1.280 Ni
1.792 0.000 3.704 Ni
5.504 2.043 2.724 Ni
2.670 -2.043 1.280 Ni
6.382 0.000 0.300 Ni
5.504 -2.043 2.724 Ni
8.731 0.000 0.874 Ni
4.824 1.918 0.000 Ir
4.087 0.000 2.002 Ir
4.824 -1.918 0.000 Ir
```

Properties
Uncorrected energy: -78.3 eV/cell
Magnetic moment: 4.15 μB/f.u.
Energy relative to the elements: 213 meV/atom
Space group: C2/m

Entry 11:
Computed, not measured: crystalline Ac6Si2H at its relaxed geometry at the PBE level of DFT.

Structure (POSCAR):
```
Ac6Si2H
1.0
7.313 0.000 0.000
0.000 7.313 0.000
0.000 0.000 12.631
Ac Si H
12 4 2
Cartesian
1.520 1.520 2.006 Ac
1.520 1.520 10.625 Ac
1.594 1.594 6.316 Ac
2.062 5.251 0.000 Ac
2.137 5.177 4.310 Ac
2.137 5.177 8.321 Ac
5.177 2.137 4.310 Ac
5.177 2.137 8.321 Ac
5.251 2.062 0.000 Ac
5.719 5.719 6.316 Ac
5.793 5.793 2.006 Ac
5.793 5.793 10.625 Ac
0.000 0.000 4.184 Si
0.000 0.000 8.447 Si
3.657 3.657 2.132 Si
3.657 3.657 10.500 Si
0.000 0.000 0.000 H
3.657 3.657 6.316 H
```

Properties
Uncorrected energy: -80.5 eV/cell
Magnetic moment: 0.00 μB/f.u.
Space group: P4_2/mnm

Entry 12:
Computed, not measured: crystalline Pm2PuGe3 at its relaxed geometry at the PBE level of DFT.

Structure (POSCAR):
```
Pm2PuGe3
1.0
-2.114 2.980 6.364
2.114 -2.980 6.364
2.114 2.980 -6.364
Pm Pu Ge
2 1 3
Cartesian
0.000 0.000 2.171 Pm
0.000 0.000 10.556 Pm
0.000 0.000 6.364 Pu
2.114 0.000 0.000 Ge
2.114 0.000 4.377 Ge
0.000 2.980 1.987 Ge
```

Properties
Uncorrected energy: -40.8 eV/cell
Magnetic moment: 4.74 μB/f.u.
Energy relative to the elements: -513 meV/atom
Space group: Immm